Entry 1:
Material: CrSi2SnTe
Method: DFT, PBE
State: relaxed

a = 5.063 Å, b = 5.063 Å, c = 5.856 Å
α = 90.00°, β = 90.00°, γ = 90.00°
Sites, in units of the cell vectors:
Cr  0.000  0.000  0.000
Si  0.000  0.500  0.500
Si  0.500  0.000  0.500
Sn  0.500  0.500  0.500
Te  0.500  0.500  0.000

Output
calculated density	3.9	g/cm3
energy relative to the elements, uncorrected	1.32	eV per atom



Entry 2:
Material: CrSiSn2Te
Method: DFT, PBE
State: relaxed

a = 5.335 Å, b = 5.335 Å, c = 4.789 Å
α = 90.00°, β = 90.00°, γ = 90.00°
Sites, in units of the cell vectors:
Cr  0.000  0.000  0.000
Si  0.000  0.000  0.500
Sn  0.000  0.500  0.500
Sn  0.500  0.000  0.500
Te  0.500  0.500  0.000

Output
calculated density	5.4	g/cm3
energy relative to the elements, uncorrected	0.49	eV per atom



Entry 3:
Material: CrSi2SnW
Method: DFT, PBE
State: relaxed

a = 4.912 Å, b = 4.912 Å, c = 5.089 Å
α = 90.00°, β = 90.00°, γ = 90.00°
Sites, in units of the cell vectors:
Cr  0.000  0.000  0.000
Si  0.000  0.500  0.500
Si  0.500  0.000  0.500
Sn  0.500  0.500  0.500
W  0.500  0.500  0.000

Output
calculated density	5.6	g/cm3
energy relative to the elements, uncorrected	2.60	eV per atom



Entry 4:
Material: Sr2CrSi2
Method: DFT, PBE
State: relaxed

a = 7.102 Å, b = 7.102 Å, c = 4.890 Å
α = 90.00°, β = 90.00°, γ = 90.00°
Sites, in units of the cell vectors:
Sr  0.175  0.325  0.000
Sr  0.325  0.825  0.000
Sr  0.675  0.175  0.000
Sr  0.825  0.675  0.000
Cr  0.000  0.000  0.500
Cr  0.500  0.500  0.500
Si  0.125  0.625  0.500
Si  0.375  0.125  0.500
Si  0.625  0.875  0.500
Si  0.875  0.375  0.500

Output
calculated density	3.8	g/cm3
energy relative to the elements, uncorrected	-0.08	eV per atom



Entry 5:
Material: SrCr4Si
Method: DFT, PBE
State: relaxed

a = 5.043 Å, b = 5.043 Å, c = 5.043 Å
α = 60.00°, β = 60.00°, γ = 60.00°
Sites, in units of the cell vectors:
Sr  0.000  0.000  0.000
Cr  0.130  0.623  0.623
Cr  0.623  0.130  0.623
Cr  0.623  0.623  0.130
Cr  0.623  0.623  0.623
Si  0.250  0.250  0.250

Output
calculated density	5.9	g/cm3
energy relative to the elements, uncorrected	0.75	eV per atom



Entry 6:
Material: SrCrSi2
Method: DFT, PBE
State: relaxed

a = 3.137 Å, b = 3.166 Å, c = 7.100 Å
α = 90.00°, β = 90.00°, γ = 90.00°
Sites, in units of the cell vectors:
Sr  0.000  0.000  0.000
Cr  0.000  0.000  0.500
Si  0.500  0.500  0.326
Si  0.500  0.500  0.674

Output
calculated density	4.6	g/cm3
energy relative to the elements, uncorrected	-0.05	eV per atom



Entry 7:
Material: SrCrSi2
Method: DFT, PBE
State: relaxed

a = 5.149 Å, b = 5.149 Å, c = 5.149 Å
α = 129.21°, β = 106.16°, γ = 95.13°
Sites, in units of the cell vectors:
Sr  0.000  0.000  0.000
Cr  0.500  0.500  0.000
Si  0.331  0.831  0.500
Si  0.669  0.169  0.500

Output
calculated density	3.4	g/cm3
energy relative to the elements, uncorrected	0.10	eV per atom



Entry 8:
Material: SrCrSi2
Method: DFT, PBE
State: relaxed

a = 3.856 Å, b = 3.700 Å, c = 6.405 Å
α = 90.00°, β = 105.82°, γ = 90.00°
Sites, in units of the cell vectors:
Sr  0.000  0.000  0.000
Cr  0.234  0.500  0.518
Si  0.615  0.500  0.251
Si  0.722  0.000  0.496

Output
calculated density	3.7	g/cm3
energy relative to the elements, uncorrected	-0.02	eV per atom



Entry 9:
Material: SrCrSi2
Method: DFT, PBE
State: relaxed

a = 3.272 Å, b = 3.272 Å, c = 7.146 Å
α = 90.00°, β = 90.00°, γ = 90.00°
Sites, in units of the cell vectors:
Sr  0.000  0.000  0.000
Cr  0.500  0.500  0.351
Si  0.000  0.000  0.472
Si  0.500  0.500  0.680

Output
calculated density	4.2	g/cm3
energy relative to the elements, uncorrected	0.21	eV per atom



Entry 10:
Material: Sr3CrSi
Method: DFT, PBE
State: relaxed

a = 6.048 Å, b = 6.048 Å, c = 6.048 Å
α = 90.00°, β = 90.00°, γ = 90.00°
Sites, in units of the cell vectors:
Sr  0.000  0.000  0.500
Sr  0.000  0.500  0.000
Sr  0.500  0.000  0.000
Cr  0.500  0.500  0.500
Si  0.000  0.000  0.000

Output
calculated density	2.6	g/cm3
energy relative to the elements, uncorrected	0.36	eV per atom
E above lowest polymorph	0	meV per atom



Entry 11:
Material: SrCrSi2
Method: DFT, PBE
State: relaxed

a = 4.367 Å, b = 4.367 Å, c = 6.654 Å
α = 114.63°, β = 114.63°, γ = 50.87°
Sites, in units of the cell vectors:
Sr  0.000  0.000  0.000
Cr  0.797  0.797  0.455
Si  0.153  0.153  0.594
Si  0.452  0.452  0.356

Output
calculated density	3.7	g/cm3
energy relative to the elements, uncorrected	-0.08	eV per atom



Entry 12:
Material: SrCrSi2
Method: DFT, PBE
State: relaxed

a = 4.332 Å, b = 4.332 Å, c = 4.329 Å
α = 90.00°, β = 90.00°, γ = 90.00°
Sites, in units of the cell vectors:
Sr  0.000  0.000  0.000
Cr  0.500  0.500  0.000
Si  0.000  0.500  0.500
Si  0.500  0.000  0.500

Output
calculated density	4.0	g/cm3
energy relative to the elements, uncorrected	0.35	eV per atom



Entry 13:
Material: SrCr3Si
Method: DFT, PBE
State: relaxed

a = 5.391 Å, b = 5.391 Å, c = 5.391 Å
α = 90.00°, β = 90.00°, γ = 90.00°
Sites, in units of the cell vectors:
Sr  0.000  0.000  0.000
Cr  0.000  0.000  0.500
Cr  0.000  0.500  0.000
Cr  0.500  0.000  0.000
Si  0.500  0.500  0.500

Output
calculated density	2.9	g/cm3
energy relative to the elements, uncorrected	2.50	eV per atom
E above lowest polymorph	1750	meV per atom



Entry 14:
Material: SrCrSi3
Method: DFT, PBE
State: relaxed

a = 5.411 Å, b = 5.411 Å, c = 5.411 Å
α = 90.00°, β = 90.00°, γ = 90.00°
Sites, in units of the cell vectors:
Sr  0.000  0.000  0.000
Cr  0.500  0.500  0.500
Si  0.000  0.000  0.500
Si  0.000  0.500  0.000
Si  0.500  0.000  0.000

Output
calculated density	2.3	g/cm3
energy relative to the elements, uncorrected	1.94	eV per atom



Entry 15:
Material: SrCrSi2
Method: DFT, PBE
State: relaxed

a = 5.241 Å, b = 5.241 Å, c = 3.164 Å
α = 90.00°, β = 90.00°, γ = 110.60°
Sites, in units of the cell vectors:
Sr  0.000  0.000  0.000
Cr  0.500  0.500  0.000
Si  0.000  0.500  0.500
Si  0.500  0.000  0.500

Output
calculated density	4.0	g/cm3
energy relative to the elements, uncorrected	0.42	eV per atom



Entry 16:
Material: SrCrSi2
Method: DFT, PBE
State: relaxed

a = 4.352 Å, b = 4.352 Å, c = 6.003 Å
α = 106.78°, β = 106.78°, γ = 51.13°
Sites, in units of the cell vectors:
Sr  0.000  0.000  0.000
Cr  0.500  0.500  0.500
Si  0.223  0.223  0.621
Si  0.777  0.777  0.379

Output
calculated density	3.9	g/cm3
energy relative to the elements, uncorrected	-0.17	eV per atom



Entry 17:
Material: SrCrSi3
Method: DFT, PBE
State: relaxed

a = 4.562 Å, b = 4.562 Å, c = 4.562 Å
α = 90.00°, β = 90.00°, γ = 90.00°
Sites, in units of the cell vectors:
Sr  0.000  0.000  0.000
Cr  0.500  0.500  0.500
Si  0.000  0.500  0.500
Si  0.500  0.000  0.500
Si  0.500  0.500  0.000

Output
calculated density	3.9	g/cm3
energy relative to the elements, uncorrected	-0.06	eV per atom



Entry 18:
Material: SrCrSi2
Method: DFT, PBE
State: relaxed

a = 8.460 Å, b = 8.460 Å, c = 8.460 Å
α = 144.94°, β = 144.94°, γ = 50.43°
Sites, in units of the cell vectors:
Sr  0.375  0.625  0.750
Sr  0.625  0.375  0.250
Cr  0.125  0.875  0.250
Cr  0.875  0.125  0.750
Si  0.000  0.000  0.000
Si  0.000  0.000  0.500
Si  0.000  0.500  0.000
Si  0.500  0.000  0.500

Output
calculated density	3.3	g/cm3
energy relative to the elements, uncorrected	0.01	eV per atom



Entry 19:
Material: SrCr3Si
Method: DFT, PBE
State: relaxed

a = 4.740 Å, b = 4.740 Å, c = 4.740 Å
α = 90.00°, β = 90.00°, γ = 90.00°
Sites, in units of the cell vectors:
Sr  0.000  0.000  0.000
Cr  0.000  0.500  0.500
Cr  0.500  0.000  0.500
Cr  0.500  0.500  0.000
Si  0.500  0.500  0.500

Output
calculated density	4.2	g/cm3
energy relative to the elements, uncorrected	0.75	eV per atom
E above lowest polymorph	0	meV per atom



Entry 20:
Material: SrCrSi2
Method: DFT, PBE
State: relaxed

a = 4.849 Å, b = 4.849 Å, c = 4.849 Å
α = 60.00°, β = 60.00°, γ = 60.00°
Sites, in units of the cell vectors:
Sr  0.000  0.000  0.000
Cr  0.500  0.500  0.500
Si  0.250  0.250  0.250
Si  0.750  0.750  0.750

Output
calculated density	4.0	g/cm3
energy relative to the elements, uncorrected	0.32	eV per atom



Computed values of spin magnetization (unit: Bohr magnetons per cell) for the preceding records, in sequence: 4.4; 4.1; 1.6; 7.7; 0.0; 0.8; 3.4; 3.4; 2.0; 5.8; 2.8; 4.0; 13.9; 3.9; 3.9; 2.5; 0.0; 3.3; 10.0; 3.7.
Computed values of N(E_F) (unit: states/eV per atom) for the preceding records, in sequence: 0.743; 0.472; 2.104; 0.478; 1.470; 0.720; 0.395; 0.481; 0.747; 0.819; 0.693; 0.327; 1.116; 0.707; 0.564; 0.898; 0.744; 0.652; 1.140; 0.548.